Entry 1:
First-principles (PBE-GGA) data for crystalline Tb6Pm5Y at its relaxed geometry, as listed in the Alexandria database.

Properties
DFT total energy: -57.8 eV for the cell shown
DFT formation energy: 0.0163 eV/atom

a = 5.0919 Å, b = 10.1726 Å, c = 9.5251 Å
α = 122.28°, β = 105.50°, γ = 90.00°
Fractional positions:
1 Y 0.0000 0.0000 0.0000
2 Tb 0.8335 0.5838 0.6670
3 Tb 0.8335 0.0832 0.6670
4 Tb 0.5000 0.7502 0.0000
5 Tb 0.5000 0.2498 0.0000
6 Tb 0.1665 0.9168 0.3330
7 Tb 0.1665 0.4162 0.3330
8 Pm 0.6662 0.1662 0.3323
9 Pm 0.3330 0.3330 0.6660
10 Pm 0.0000 0.5000 0.0000
11 Pm 0.6670 0.6670 0.3340
12 Pm 0.3338 0.8338 0.6677

Entry 2:
First-principles (PBE-GGA) data for crystalline Tb3PmY5 at its relaxed geometry, as listed in the Alexandria database.

Properties
Distance to the lowest polymorph of the same formula: 0.00 eV/f.u.
DFT total energy: -100.8 eV for the cell shown
DFT formation energy: 0.0620 eV/atom

a = 7.0458 Å, b = 9.7784 Å, c = 9.7784 Å
α = 120.00°, β = 90.00°, γ = 90.00°
Fractional positions:
1 Tb 0.7500 0.3521 0.0000
2 Tb 0.7500 0.6479 0.6479
3 Tb 0.7500 0.0000 0.3521
4 Tb 0.2500 0.6479 0.0000
5 Tb 0.2500 0.3521 0.3521
6 Tb 0.2500 0.0000 0.6479
7 Pm 0.0000 0.0000 0.0000
8 Pm 0.5000 0.0000 0.0000
9 Y 0.0000 0.3333 0.6667
10 Y 0.5000 0.6667 0.3333
11 Y 0.0000 0.6667 0.3333
12 Y 0.5000 0.3333 0.6667
13 Y 0.7500 0.6828 0.0000
14 Y 0.7500 0.3172 0.3172
15 Y 0.7500 0.0000 0.6828
16 Y 0.2500 0.3172 0.0000
17 Y 0.2500 0.6828 0.6828
18 Y 0.2500 0.0000 0.3172

Entry 3:
First-principles (PBE-GGA) data for crystalline Tb2Pm3Y8 at its relaxed geometry, as listed in the Alexandria database.

Properties
Distance to the lowest polymorph of the same formula: 0.19 eV/f.u.
DFT total energy: -72.0 eV for the cell shown
DFT formation energy: 0.2465 eV/atom

a = 5.6898 Å, b = 7.7175 Å, c = 10.8221 Å
α = 110.93°, β = 90.01°, γ = 90.00°
Fractional positions:
1 Tb 0.4997 0.2412 0.4829
2 Tb 0.5003 0.7588 0.5171
3 Pm 0.5000 0.0000 0.0000
4 Pm 0.0000 0.2902 0.0001
5 Pm 0.0000 0.7098 0.9999
6 Y 0.0002 0.6724 0.3440
7 Y 0.9998 0.3276 0.6560
8 Y 0.9999 0.1345 0.2692
9 Y 0.0001 0.8655 0.7308
10 Y 0.5000 0.6016 0.7839
11 Y 0.5000 0.1822 0.7837
12 Y 0.5000 0.8178 0.2163
13 Y 0.5000 0.3984 0.2161

Entry 4:
First-principles (PBE-GGA) data for crystalline Tb2Pm6Y at its relaxed geometry, as listed in the Alexandria database.

Properties
Distance to the lowest polymorph of the same formula: 0.70 eV/f.u.
DFT total energy: -84.7 eV for the cell shown
DFT formation energy: 0.2068 eV/atom

a = 6.3044 Å, b = 10.9065 Å, c = 10.9065 Å
α = 85.97°, β = 65.08°, γ = 65.08°
Fractional positions:
1 Tb 0.2008 0.6297 0.7684
2 Tb 0.2992 0.2316 0.3703
3 Tb 0.7992 0.3703 0.2316
4 Tb 0.7008 0.7684 0.6297
5 Pm 0.4014 0.6759 0.4379
6 Pm 0.0986 0.5621 0.3241
7 Pm 0.5986 0.3241 0.5621
8 Pm 0.9014 0.4379 0.6759
9 Pm 0.8192 0.9874 0.4234
10 Pm 0.6808 0.5766 0.0126
11 Pm 0.1808 0.0126 0.5766
12 Pm 0.3192 0.4234 0.9874
13 Pm 0.2681 0.8488 0.9381
14 Pm 0.2319 0.0619 0.1512
15 Pm 0.7319 0.1512 0.0619
16 Pm 0.7681 0.9381 0.8488
17 Y 0.2500 0.1795 0.8205
18 Y 0.7500 0.8205 0.1795

Entry 5:
First-principles (PBE-GGA) data for crystalline Tb12Pm5Y at its relaxed geometry, as listed in the Alexandria database.

Properties
DFT total energy: -83.9 eV for the cell shown
DFT formation energy: 0.1054 eV/atom

a = 11.3769 Å, b = 10.3972 Å, c = 5.9934 Å
α = 90.08°, β = 90.14°, γ = 56.83°
Fractional positions:
1 Tb 0.8203 0.0000 0.4442
2 Tb 0.1797 0.0000 0.5558
3 Tb 0.6770 0.0000 0.9449
4 Tb 0.3230 0.0000 0.0551
5 Tb 0.3430 0.6689 0.9484
6 Tb 0.9881 0.6689 0.0516
7 Tb 0.0119 0.3312 0.9484
8 Tb 0.6570 0.3312 0.0516
9 Tb 0.5084 0.3346 0.5511
10 Tb 0.8430 0.6654 0.5511
11 Tb 0.1570 0.3346 0.4489
12 Tb 0.4916 0.6654 0.4489
13 Pm 0.5000 0.0000 0.5000
14 Pm 0.1638 0.6725 0.5000
15 Pm 0.8362 0.3275 0.5000
16 Pm 0.6676 0.6648 0.0000
17 Pm 0.3324 0.3352 0.0000
18 Y 0.0000 0.0000 0.0000

Entry 6:
First-principles (PBE-GGA) data for crystalline TbPmY at its relaxed geometry, as listed in the Alexandria database.

Properties
Distance to the lowest polymorph of the same formula: 0.15 eV/f.u.
DFT total energy: -15.7 eV for the cell shown
DFT formation energy: 0.0575 eV/atom

a = 3.5477 Å, b = 5.6596 Å, c = 5.6596 Å
α = 120.00°, β = 90.00°, γ = 90.00°
Fractional positions:
1 Y 0.6666 0.6667 0.3333
2 Tb 0.1663 0.3333 0.6667
3 Pm 0.1671 0.0000 0.0000